VASP calculation (PBE) on SrScSn2 after structural relaxation.

The density of states at the Fermi level is 4.89 states/eV per cell.

Cell and atoms, written as CIF:
```
data_SrScSn2
_cell_length_a 5.6122
_cell_length_b 5.6122
_cell_length_c 18.9776
_cell_angle_alpha 90.00
_cell_angle_beta 90.00
_cell_angle_gamma 90.00
_symmetry_space_group_name_H-M 'I -4 2 d'
_symmetry_Int_Tables_number 122
_symmetry_space_group_name_Hall 'I -4 2bw'
loop_
_atom_site_label
_atom_site_fract_x
_atom_site_fract_y
_atom_site_fract_z
Sr1 0.0000 0.0000 0.0000
Sc1 0.0000 0.0000 0.5000
Sn1 0.1276 0.2500 0.6250
```

VASP calculation (PBE) on SrSc3Sn after structural relaxation.

The density of states at the Fermi level is 9.60 states/eV per cell.

Cell and atoms, written as CIF:
```
data_SrSc3Sn
_cell_length_a 5.5399
_cell_length_b 5.5399
_cell_length_c 5.5399
_cell_angle_alpha 90.00
_cell_angle_beta 90.00
_cell_angle_gamma 90.00
_symmetry_space_group_name_H-M 'P m -3 m'
_symmetry_Int_Tables_number 221
_symmetry_space_group_name_Hall '-P 4 2 3'
loop_
_atom_site_label
_atom_site_fract_x
_atom_site_fract_y
_atom_site_fract_z
Sr1 0.0000 0.0000 0.0000
Sc1 0.0000 0.5000 0.5000
Sn1 0.5000 0.5000 0.5000
```

VASP calculation (PBE) on SrSc2Sn after structural relaxation.

The density of states at the Fermi level is 20.42 states/eV per cell.

Cell and atoms, written as CIF:
```
data_SrSc2Sn
_cell_length_a 3.5264
_cell_length_b 3.5264
_cell_length_c 33.4540
_cell_angle_alpha 90.00
_cell_angle_beta 90.00
_cell_angle_gamma 120.00
_symmetry_space_group_name_H-M 'R -3 m'
_symmetry_Int_Tables_number 166
_symmetry_space_group_name_Hall '-R 3 2"'
loop_
_atom_site_label
_atom_site_fract_x
_atom_site_fract_y
_atom_site_fract_z
Sr1 0.0000 0.0000 0.0000
Sc1 0.0000 0.0000 0.0999
Sn1 0.0000 0.0000 0.5000
```

VASP calculation (PBE) on Sr2ScSn2 after structural relaxation.

The density of states at the Fermi level is 1.23 states/eV per cell.

Cell and atoms, written as CIF:
```
data_Sr2ScSn2
_cell_length_a 7.9503
_cell_length_b 7.9503
_cell_length_c 5.1359
_cell_angle_alpha 90.00
_cell_angle_beta 90.00
_cell_angle_gamma 90.00
_symmetry_space_group_name_H-M 'P 4/m b m'
_symmetry_Int_Tables_number 127
_symmetry_space_group_name_Hall '-P 4 2ab'
loop_
_atom_site_label
_atom_site_fract_x
_atom_site_fract_y
_atom_site_fract_z
Sr1 0.1692 0.3308 0.0000
Sc1 0.0000 0.0000 0.5000
Sn1 0.1343 0.6343 0.5000
```

VASP calculation (PBE) on SrSc2Sn2 after structural relaxation.

The density of states at the Fermi level is 8.04 states/eV per cell.

Cell and atoms, written as CIF:
```
data_SrSc2Sn2
_cell_length_a 5.4782
_cell_length_b 5.4782
_cell_length_c 10.5235
_cell_angle_alpha 90.00
_cell_angle_beta 90.00
_cell_angle_gamma 90.00
_symmetry_space_group_name_H-M 'I 4/m m m'
_symmetry_Int_Tables_number 139
_symmetry_space_group_name_Hall '-I 4 2'
loop_
_atom_site_label
_atom_site_fract_x
_atom_site_fract_y
_atom_site_fract_z
Sr1 0.0000 0.0000 0.0000
Sc1 0.0000 0.0000 0.3352
Sn1 0.0000 0.5000 0.2500
```

VASP calculation (PBE) on SrScTl2Sn after structural relaxation.

The density of states at the Fermi level is 6.35 states/eV per cell.

Cell and atoms, written as CIF:
```
data_SrScTl2Sn
_cell_length_a 5.5913
_cell_length_b 5.5913
_cell_length_c 5.5518
_cell_angle_alpha 90.00
_cell_angle_beta 90.00
_cell_angle_gamma 90.00
_symmetry_space_group_name_H-M 'P 4/m m m'
_symmetry_Int_Tables_number 123
_symmetry_space_group_name_Hall '-P 4 2'
loop_
_atom_site_label
_atom_site_fract_x
_atom_site_fract_y
_atom_site_fract_z
Sr1 0.0000 0.0000 0.0000
Sc1 0.5000 0.5000 0.5000
Tl1 0.0000 0.5000 0.5000
Sn1 0.5000 0.5000 0.0000
```

VASP calculation (PBE) on SrScTlSn after structural relaxation.

The density of states at the Fermi level is 12.41 states/eV per cell.

Cell and atoms, written as CIF:
```
data_SrScTlSn
_cell_length_a 7.6614
_cell_length_b 7.6614
_cell_length_c 7.6614
_cell_angle_alpha 90.00
_cell_angle_beta 90.00
_cell_angle_gamma 90.00
_symmetry_space_group_name_H-M 'F -4 3 m'
_symmetry_Int_Tables_number 216
_symmetry_space_group_name_Hall 'F -4 2 3'
loop_
_atom_site_label
_atom_site_fract_x
_atom_site_fract_y
_atom_site_fract_z
Sr1 0.0000 0.0000 0.0000
Sc1 0.0000 0.0000 0.5000
Tl1 0.2500 0.2500 0.2500
Sn1 0.2500 0.2500 0.7500
```

VASP calculation (PBE) on ScTa3Sn after structural relaxation.

The density of states at the Fermi level is 6.58 states/eV per cell.

Cell and atoms, written as CIF:
```
data_ScTa3Sn
_cell_length_a 5.0385
_cell_length_b 5.0385
_cell_length_c 5.0385
_cell_angle_alpha 90.00
_cell_angle_beta 90.00
_cell_angle_gamma 90.00
_symmetry_space_group_name_H-M 'P m -3 m'
_symmetry_Int_Tables_number 221
_symmetry_space_group_name_Hall '-P 4 2 3'
loop_
_atom_site_label
_atom_site_fract_x
_atom_site_fract_y
_atom_site_fract_z
Sc1 0.0000 0.0000 0.0000
Ta1 0.0000 0.5000 0.5000
Sn1 0.5000 0.5000 0.5000
```

VASP calculation (PBE) on Sc2TaSn2 after structural relaxation.

The density of states at the Fermi level is 6.37 states/eV per cell.

Cell and atoms, written as CIF:
```
data_Sc2TaSn2
_cell_length_a 7.4643
_cell_length_b 7.4643
_cell_length_c 3.9602
_cell_angle_alpha 90.00
_cell_angle_beta 90.00
_cell_angle_gamma 90.00
_symmetry_space_group_name_H-M 'P 4/m b m'
_symmetry_Int_Tables_number 127
_symmetry_space_group_name_Hall '-P 4 2ab'
loop_
_atom_site_label
_atom_site_fract_x
_atom_site_fract_y
_atom_site_fract_z
Sc1 0.1691 0.3309 0.0000
Ta1 0.0000 0.0000 0.5000
Sn1 0.1385 0.6385 0.5000
```

VASP calculation (PBE) on Sc2TaSn after structural relaxation.

The density of states at the Fermi level is 13.98 states/eV per cell.

Cell and atoms, written as CIF:
```
data_Sc2TaSn
_cell_length_a 3.1816
_cell_length_b 3.1816
_cell_length_c 32.2098
_cell_angle_alpha 90.00
_cell_angle_beta 90.00
_cell_angle_gamma 120.00
_symmetry_space_group_name_H-M 'R -3 m'
_symmetry_Int_Tables_number 166
_symmetry_space_group_name_Hall '-R 3 2"'
loop_
_atom_site_label
_atom_site_fract_x
_atom_site_fract_y
_atom_site_fract_z
Sc1 0.0000 0.0000 0.0933
Ta1 0.0000 0.0000 0.5000
Sn1 0.0000 0.0000 0.0000
```

VASP calculation (PBE) on ScTa3Sn after structural relaxation.

The density of states at the Fermi level is 3.68 states/eV per cell.

Cell and atoms, written as CIF:
```
data_ScTa3Sn
_cell_length_a 4.7757
_cell_length_b 4.7757
_cell_length_c 4.7757
_cell_angle_alpha 90.00
_cell_angle_beta 90.00
_cell_angle_gamma 90.00
_symmetry_space_group_name_H-M 'P m -3 m'
_symmetry_Int_Tables_number 221
_symmetry_space_group_name_Hall '-P 4 2 3'
loop_
_atom_site_label
_atom_site_fract_x
_atom_site_fract_y
_atom_site_fract_z
Sc1 0.0000 0.0000 0.0000
Ta1 0.0000 0.0000 0.5000
Sn1 0.5000 0.5000 0.5000
```

VASP calculation (PBE) on Sc2TaSn2 after structural relaxation.

The density of states at the Fermi level is 9.96 states/eV per cell.

Cell and atoms, written as CIF:
```
data_Sc2TaSn2
_cell_length_a 8.2946
_cell_length_b 8.2946
_cell_length_c 3.2153
_cell_angle_alpha 90.00
_cell_angle_beta 90.00
_cell_angle_gamma 90.00
_symmetry_space_group_name_H-M 'P 4/m b m'
_symmetry_Int_Tables_number 127
_symmetry_space_group_name_Hall '-P 4 2ab'
loop_
_atom_site_label
_atom_site_fract_x
_atom_site_fract_y
_atom_site_fract_z
Sc1 0.1252 0.3748 0.0000
Ta1 0.0000 0.0000 0.0000
Sn1 0.1765 0.6765 0.5000
```

Number 1: energy relative to the elements -72.6 kJ/mol of formula units, size of the total moment 0.00 μB per cell. Number 2: energy relative to the elements 93.9 kJ/mol of formula units, size of the total moment 0.62 μB per cell. Number 3: energy relative to the elements 46.3 kJ/mol of formula units, size of the total moment 0.00 μB per cell. Number 4: energy relative to the elements -263.9 kJ/mol of formula units, size of the total moment 1.94 μB per cell. Number 5: energy relative to the elements -134.4 kJ/mol of formula units, size of the total moment 1.55 μB per cell. Number 6: energy relative to the elements -47.1 kJ/mol of formula units, size of the total moment 0.00 μB per cell. Number 7: energy relative to the elements -130.5 kJ/mol of formula units, size of the total moment 0.00 μB per cell. Number 8: energy relative to the elements 782.6 kJ/mol of formula units, size of the total moment 0.00 μB per cell. Number 9: energy relative to the elements -142.5 kJ/mol of formula units, size of the total moment 0.00 μB per cell. Number 10: energy relative to the elements 68.0 kJ/mol of formula units, size of the total moment 0.00 μB per cell. Number 11: energy relative to the elements 809.4 kJ/mol of formula units, size of the total moment 0.00 μB per cell. Number 12: energy relative to the elements 45.1 kJ/mol of formula units, size of the total moment 1.43 μB per cell.